Below is a relaxed Na2ClF crystal, with properties calculated at the PBE level.

Symmetry: No. 160
Formation energy from raw total energies (eV/atom): -2.140
E above lowest polymorph (meV per atom): 83

abc: 3.5989 3.5989 6.7716
angles: 74.59 74.59 60.00
With the nearest neighbours (Å) after each atom.
Positions (direct):
1 Na 0.0931 0.0931 0.7208  3 F 2.50, 3 Cl 2.73
2 Na 0.2410 0.2410 0.2771  3 F 2.55, 3 Cl 2.76
3 Cl 0.6679 0.6679 0.9963  6 Na 2.73-2.76
4 F 0.4981 0.4981 0.5058  6 Na 2.50-2.55

***

Below is a relaxed NaAc2Zn3Sn4 crystal, with properties calculated at the PBE level.

Symmetry: No. 115
Energy relative to the elements (eV per atom): -0.38

abc: 4.7750 4.7750 11.5521
angles: 90.00 90.00 90.00
With the nearest neighbours (Å) after each atom.
Positions (direct):
1 Na 0.5000 0.5000 0.5000  4 Sn 2.93
2 Ac 0.5000 0.0000 0.2381  6 Zn 3.61-3.85, 8 Sn 3.63-3.64, 2 Na 3.85
3 Ac 0.0000 0.5000 0.7619  6 Zn 3.61-3.85, 8 Sn 3.63-3.64, 2 Na 3.85
4 Zn 0.0000 0.0000 0.5000  4 Sn 2.93
5 Zn 0.5000 0.0000 0.8733  5 Sn 2.62-2.80
6 Zn 0.0000 0.5000 0.1267  5 Sn 2.62-2.80
7 Sn 0.5000 0.5000 0.0000  4 Zn 2.80
8 Sn 0.0000 0.0000 0.0000  4 Zn 2.80
9 Sn 0.5000 0.0000 0.6465  3 Zn 2.62-2.93, 2 Na 2.93
10 Sn 0.0000 0.5000 0.3535  3 Zn 2.62-2.93, 2 Na 2.93

***

Below is a relaxed NaTaCrN3 crystal, with properties calculated at the PBE level.

Symmetry: No. 11
Formation energy from raw total energies (eV/atom): -0.628

abc: 3.1647 6.6153 9.1573
angles: 112.93 90.00 90.00
With the nearest neighbours (Å) after each atom.
Positions (direct):
1 Na 0.2500 0.1976 0.1575  4 N 2.46-2.52
2 Na 0.7500 0.8024 0.8425  4 N 2.46-2.52
3 Ta 0.2500 0.6767 0.1332  6 N 2.04-2.19
4 Ta 0.7500 0.3233 0.8668  6 N 2.04-2.19
5 Cr 0.2500 0.0330 0.6108  4 N 1.88-1.95
6 Cr 0.7500 0.9670 0.3892  4 N 1.88-1.95
7 N 0.7500 0.9063 0.1673  1 Cr 1.91, 2 Ta 2.13
8 N 0.2500 0.0937 0.8327  1 Cr 1.91, 2 Ta 2.13
9 N 0.2500 0.8166 0.3933  3 Cr 1.88-1.95
10 N 0.7500 0.1834 0.6067  3 Cr 1.88-1.95
11 N 0.7500 0.4493 0.1092  3 Ta 2.04-2.13
12 N 0.2500 0.5507 0.8908  3 Ta 2.04-2.13